First-principles (PBE-GGA) data for a geometry-optimized CeAgBiN structure, as listed in Alexandria.

a b c (Å): 3.3973 3.3973 15.0068
angles (deg): 90.00 90.00 90.00
Space group I4mm (No. 107)
One atom of each set of equivalent atoms:
Ce1 0.0000 0.0000 0.0000
Ag1 0.0000 0.0000 0.3282
Bi1 0.0000 0.0000 0.6968
N1 0.0000 0.0000 0.4769

Results
* energy relative to the elements, uncorrected: -12.16 kcal/mol of atoms
* crystal system: tetragonal
* D(E_F): 1.0840 states/eV per atom